Zr6SnTe: optimized geometry, PBE-GGA.

Space group: No. 2
Electronic total energy, eV/atom: -7.666
M_tot, μB/atom: 0.00

Lattice parameters (Å, degrees): 7.9869 7.9806 5.6273 44.84 44.83 59.88
Atoms (fractional coordinates):
Zr (0.9978, 0.4986, 0.2509)
Zr (0.5002, 0.7476, 0.7492)
Zr (0.7472, 0.0011, 0.7516)
Zr (0.4998, 0.2524, 0.2508)
Zr (0.2528, 0.9989, 0.2484)
Zr (0.0022, 0.5014, 0.7491)
Te (0.0000, 0.0000, 0.0000)
Sn (0.5000, 0.5000, 0.5000)